# PBE ScZnRhO4, relaxed
data_ScZnRhO4
_chemical_formula_sum 'Sc4 Zn4 Rh4 O16'
_cell_length_a 6.215
_cell_length_b 6.218
_cell_length_c 8.521
_cell_angle_alpha 90.00
_cell_angle_beta 90.00
_cell_angle_gamma 90.00
_symmetry_space_group_name_H-M 'I m m a'
_symmetry_Int_Tables_number 74
_symmetry_space_group_name_Hall '-I 2b 2'
loop_
_atom_site_label
_atom_site_type_symbol
_atom_site_fract_x
_atom_site_fract_y
_atom_site_fract_z
Sc1 Sc 0.000 0.000 0.000
Zn1 Zn 0.000 0.250 0.385
Rh1 Rh 0.250 0.250 0.750
O1 O 0.000 0.024 0.750
O2 O 0.229 0.250 0.996
# ρ: 5.6 g cm⁻³
# electronic total energy: -6.891 eV per atom
# formation energy (no corrections): -1921 meV per atom

# PBE PtC2, relaxed
data_PtC2
_chemical_formula_sum 'Pt2 C4'
_cell_length_a 4.209
_cell_length_b 4.209
_cell_length_c 3.948
_cell_angle_alpha 90.00
_cell_angle_beta 90.00
_cell_angle_gamma 90.00
_symmetry_space_group_name_H-M 'P 4/n m m'
_symmetry_Int_Tables_number 129
loop_
_symmetry_equiv_pos_as_xyz
'x,y,z'
'-x,-y,-z'
'-y+1/2,x,z'
'y+1/2,-x,-z'
'-x+1/2,-y+1/2,z'
'x+1/2,y+1/2,-z'
'y,-x+1/2,z'
'-y,x+1/2,-z'
'x+1/2,-y,-z'
'-x+1/2,y,z'
'-y,-x,-z'
'y,x,z'
'-x,y+1/2,-z'
'x,-y+1/2,z'
'y+1/2,x+1/2,-z'
'-y+1/2,-x+1/2,z'
loop_
_atom_site_label
_atom_site_type_symbol
_atom_site_fract_x
_atom_site_fract_y
_atom_site_fract_z
Pt1 Pt 0.250 0.250 0.176
C1 C 0.250 0.250 0.644
C2 C 0.250 0.750 0.000
# energy relative to the lowest polymorph listed for this composition: 1991 meV/atom
# ρ: 10.4 g cm⁻³
# electronic total energy: -5.851 eV per atom

Among the records above, which one has the lowest ρ? ScZnRhO4